Entry 1:
## TeMo3C (PBE)

Data for a geometry-optimized TeMo3C structure.

Unit cell a=4.888 b=4.888 c=4.888 alpha=90.00 beta=90.00 gamma=90.00
Space group Pm-3m (No. 221)
Symmetry-distinct sites (fractional):
Te: 0.000 0.000 0.000
Mo: 0.000 0.000 0.500
C: 0.500 0.500 0.500

Computed properties:
- energy relative to the lowest polymorph listed for this composition (meV per atom) = 2860
- raw formation energy (eV per atom) = 3.259

---

Entry 2:
## Te3MoC (PBE)

Data for a geometry-optimized Te3MoC structure.

Unit cell a=5.280 b=5.280 c=5.280 alpha=90.00 beta=90.00 gamma=90.00
Space group Pm-3m (No. 221)
Symmetry-distinct sites (fractional):
Te: 0.000 0.000 0.500
Mo: 0.000 0.000 0.000
C: 0.500 0.500 0.500

Computed properties:
- energy relative to the lowest polymorph listed for this composition (meV per atom) = 395
- raw formation energy (eV per atom) = 1.709

---

Entry 3:
## Te2MoC (PBE)

Data for a geometry-optimized Te2MoC structure.

Unit cell a=5.789 b=5.789 c=10.585 alpha=90.00 beta=90.00 gamma=90.00
Space group I-42d (No. 122)
Symmetry-distinct sites (fractional):
Te: 0.204 0.250 0.125
Mo: 0.000 0.000 0.500
C: 0.000 0.000 0.000

Computed properties:
- raw formation energy (eV per atom) = 1.231

---

Entry 4:
## Te2MoWC (PBE)

Data for a geometry-optimized Te2MoWC structure.

Unit cell a=4.796 b=4.796 c=4.000 alpha=90.00 beta=90.00 gamma=90.00
Space group P4/mmm (No. 123)
Symmetry-distinct sites (fractional):
Te: 0.000 0.500 0.000
Mo: 0.000 0.000 0.500
W: 0.500 0.500 0.500
C: 0.500 0.500 0.000

Computed properties:
- raw formation energy (eV per atom) = 1.242

---

Entry 5:
## ZrTe2MoC (PBE)

Data for a geometry-optimized ZrTe2MoC structure.

Unit cell a=5.693 b=5.693 c=4.057 alpha=90.00 beta=90.00 gamma=90.00
Space group P4/mmm (No. 123)
Symmetry-distinct sites (fractional):
Zr: 0.000 0.000 0.000
Te: 0.000 0.500 0.000
Mo: 0.500 0.500 0.500
C: 0.000 0.000 0.500

Computed properties:
- raw formation energy (eV per atom) = 1.171

---

Entry 6:
## ThMoC2 (PBE)

Data for a geometry-optimized ThMoC2 structure.

Unit cell a=5.887 b=3.500 c=11.083 alpha=90.00 beta=90.00 gamma=90.00
Space group Pnma (No. 62)
Symmetry-distinct sites (fractional):
Th: 0.085 0.250 0.141
Mo: 0.085 0.750 0.395
C: 0.164 0.250 0.751
C: 0.216 0.250 0.481

Computed properties:
- energy relative to the elements (eV per atom) = -0.2625
- energy relative to the lowest polymorph listed for this composition (meV per atom) = 0

---

The records above yield DOS(E_F) values of 7.07, 5.57, 4.12, 4.30, 3.53, 2.98 states/eV per cell, respectively.